(1)
A geometry-optimized LaZr2Ge2 structure, computed with GGA-PBE.

Cell lengths 5.172, 5.172, 5.982 Å; angles 64.39, 64.39, 90.00 degrees
Fractional positions:
Ge1 0.750 0.250 0.500
Zr1 0.331 0.331 0.337
Ge2 0.250 0.750 0.500
Zr2 0.669 0.669 0.663
La1 0.000 0.000 0.000

## Properties
energy of formation	-0.376	eV/atom
crystal system	tetragonal
DOS(E_F)	1.5879	states/eV per atom
relative energy among the computed polymorphs	32.3	kJ/mol of atoms

(2)
A geometry-optimized KLaAu2 structure, computed with GGA-PBE.

Cell lengths 5.173, 5.173, 5.173 Å; angles 60.00, 60.00, 60.00 degrees
Fractional positions:
Au1 0.000 0.000 0.000
Au2 0.250 0.250 0.250
K1 0.500 0.500 0.500
La1 0.750 0.750 0.750

## Properties
energy of formation	-0.226	eV/atom
crystal system	cubic
DOS(E_F)	1.0097	states/eV per atom

(3)
A geometry-optimized SmEuCdIn structure, computed with GGA-PBE.

Cell lengths 5.488, 5.488, 5.488 Å; angles 60.00, 60.00, 60.00 degrees
Fractional positions:
Cd1 0.750 0.750 0.750
Eu1 0.500 0.500 0.500
Sm1 0.000 0.000 0.000
In1 0.250 0.250 0.250

## Properties
energy of formation	-0.403	eV/atom
crystal system	cubic
DOS(E_F)	2.2336	states/eV per atom